First-principles (PBE with a Hubbard U) data for a geometry-optimized HfV2IrF structure, as listed in Alexandria via LeMat-Bulk.

## Properties
The volume is 78.7 Å³/f.u. The value obtained for the calculated density is 10.370 g cm⁻³. Its electronic total energy is -7.2899 eV/atom.

Cell lengths 4.1311, 4.6126, 4.1311 Å; angles 90.00, 90.00, 90.00 degrees
Each line ends with the local moment (μB).
Atoms (fractional coordinates):
Hf: 0.0000 0.5000 0.0000  -0.07
Ir: 0.5000 0.5000 0.5000  0.15
F: 0.0000 0.0000 0.0000  0.04
V: 0.0000 0.0000 0.5000  2.51
V: 0.5000 0.0000 0.0000  2.59